# CaEr2In2

A relaxed structure of CaEr2In2 (PBE-GGA, Alexandria via LeMat-Bulk).

The structure in POSCAR format:
```
CaEr2In2
1.0
3.674 0.000 -0.492
0.000 5.394 0.000
0.027 0.000 14.164
Ca Er In
2 4 4
direct
0.852 0.750 0.703
0.148 0.250 0.297
0.048 0.750 0.097
0.952 0.250 0.903
0.234 0.750 0.468
0.766 0.250 0.532
0.641 0.750 0.283
0.359 0.250 0.717
0.451 0.750 0.903
0.549 0.250 0.097
```

Results
symmetry: No. 63
E_tot: -3.675 eV per atom
density of states at the Fermi level: 3.9 states/eV/f.u.
energy above the lowest structure with this stoichiometry: 0 meV per atom
formation enthalpy at 0 K: -0.354 eV/atom